Entry 1:
This record from Alexandria describes crystalline CoSnOs at its relaxed geometry. The functional is PBE.

Properties
space-group type	P4/nmm

Unit cell a=2.9111 b=2.9111 c=10.8455 alpha=90.00 beta=90.00 gamma=90.00
Last column: magnetic moment on the atom in μB.
Fractional coordinates of all 6 atoms:
Co 0.0000 0.5000 0.5622  1.19
Co 0.5000 0.0000 0.4378  1.19
Sn 0.5000 0.0000 0.7254  -0.03
Sn 0.0000 0.5000 0.2746  -0.03
Os 0.0000 0.5000 0.9248  -0.12
Os 0.5000 0.0000 0.0752  -0.12

***

Entry 2:
This record from Alexandria describes crystalline CoSnOs2 at its relaxed geometry. The functional is PBE.

Properties
space-group type	I-42d

Unit cell a=5.6286 b=5.6286 c=6.7869 alpha=65.50 beta=65.50 gamma=90.00
Fractional coordinates of all 8 atoms:
Co 0.5000 0.5000 0.0000
Co 0.2500 0.7500 0.5000
Os 0.5617 0.1250 0.2500
Os 0.1883 0.6250 0.2500
Os 0.3750 0.4383 0.7500
Os 0.8750 0.8117 0.7500
Sn 0.0000 0.0000 0.0000
Sn 0.7500 0.2500 0.5000

***

no.,total DFT energy (no corrections) (eV per atom)
1,-7.11
2,-7.01